Entry 1:
## Rb2Si2Cl (GGA-PBE)

Data for a relaxed Rb2Si2Cl crystal.

Properties
The calculation puts the formation energy without anion corrections at -0.518 eV per atom. As for the total magnetic moment: 0.00 μB/atom.

Lattice parameters (Å, degrees): 3.672 3.672 20.645 90.00 90.00 90.00
Space group I4/mmm (No. 139)
Inequivalent atoms, fractional coordinates:
Rb 0.000 0.000 0.099 [4 per cell]
Si 0.000 0.500 0.250 [4 per cell]
Cl 0.000 0.000 0.500 [2 per cell]

=====

Entry 2:
## ThScNi2 (GGA-PBE)

Data for a relaxed ThScNi2 crystal.

Properties
The polymorph energy (0 for the lowest one) is 0 meV per atom. The formation energy comes out at -1.86 eV/f.u. As for the total magnetic moment: 0.00 μB/atom.

Lattice parameters (Å, degrees): 3.589 4.290 5.298 90.00 109.83 90.00
Space group Pm (No. 6)
Inequivalent atoms, fractional coordinates:
Th 0.000 0.000 0.000 [1 per cell]
Sc 0.723 0.500 0.446 [1 per cell]
Ni 0.275 0.000 0.553 [1 per cell]
Ni 0.433 0.500 0.867 [1 per cell]

=====

Entry 3:
## ZnRe2Br (GGA-PBE)

Data for a relaxed ZnRe2Br crystal.

Properties
The calculation puts the formation energy without anion corrections at 0.917 eV per atom. The polymorph energy (0 for the lowest one) is 648 meV per atom. As for the total magnetic moment: 0.00 μB/atom.

Lattice parameters (Å, degrees): 10.431 2.881 5.210 90.00 118.56 90.00
Space group Cm (No. 8)
Inequivalent atoms, fractional coordinates:
Zn 0.000 0.000 0.000 [2 per cell]
Re 0.249 0.500 0.095 [2 per cell]
Re 0.462 0.000 0.475 [2 per cell]
Br 0.198 0.000 0.654 [2 per cell]

=====

Entry 4:
## Ti4BO (GGA-PBE)

Data for a relaxed Ti4BO crystal.

Properties
The calculation puts the formation energy without anion corrections at -1.096 eV per atom. As for the total magnetic moment: 0.00 μB/atom.

Lattice parameters (Å, degrees): 7.155 7.155 6.299 90.00 90.00 90.00
Space group I4_1md (No. 109)
Inequivalent atoms, fractional coordinates:
Ti 0.000 0.296 0.000 [8 per cell]
Ti 0.000 0.301 0.480 [8 per cell]
B 0.000 0.000 0.497 [4 per cell]
O 0.000 0.000 0.981 [4 per cell]

=====

Entry 5:
## Tb2Lu4C (GGA-PBE)

Data for a relaxed Tb2Lu4C crystal.

Properties
The formation energy comes out at 0.73 eV/f.u. As for the total magnetic moment: 0.00 μB/atom.

Lattice parameters (Å, degrees): 4.697 4.697 18.125 90.00 90.00 90.00
Space group I4/mmm (No. 139)
Inequivalent atoms, fractional coordinates:
Tb 0.000 0.000 0.181 [4 per cell]
Lu 0.000 0.000 0.370 [4 per cell]
Lu 0.000 0.500 0.000 [4 per cell]
C 0.000 0.000 0.500 [2 per cell]

=====

Entry 6:
## Pm7NdIn4 (GGA-PBE)

Data for a relaxed Pm7NdIn4 crystal.

Properties
The formation energy comes out at -1.71 eV/f.u. As for the total magnetic moment: 0.00 μB/atom.

Lattice parameters (Å, degrees): 14.703 5.814 10.763 90.00 123.59 90.00
Space group C2/m (No. 12)
Inequivalent atoms, fractional coordinates:
Pm 0.000 0.000 0.000 [2 per cell]
Pm 0.063 0.500 0.393 [4 per cell]
Pm 0.206 0.500 0.879 [4 per cell]
Pm 0.217 0.000 0.655 [4 per cell]
Nd 0.000 0.500 0.000 [2 per cell]
In 0.058 0.000 0.755 [4 per cell]
In 0.182 0.000 0.332 [4 per cell]

=====

Entry 7:
## NaTlSn (GGA-PBE)

Data for a relaxed NaTlSn crystal.

Properties
The formation energy comes out at -0.31 eV/f.u. As for the total magnetic moment: 0.00 μB/atom.

Lattice parameters (Å, degrees): 5.4318 5.4318 3.2780 90.00 90.00 120.00
Space group P3m1 (No. 156)
Inequivalent atoms, fractional coordinates:
Na 0.0000 0.0000 0.0000 [1 per cell]
Tl 0.3333 0.6667 0.5380 [1 per cell]
Sn 0.6667 0.3333 0.4735 [1 per cell]

=====

Entry 8:
## Y2W (GGA-PBE)

Data for a relaxed Y2W crystal.

Properties
The polymorph energy (0 for the lowest one) is 1107 meV per atom. The formation energy comes out at 4.06 eV/f.u. As for the total magnetic moment: 0.00 μB/atom.

Lattice parameters (Å, degrees): 8.330 8.330 8.330 90.00 90.00 90.00
Space group Fd-3m (No. 227, origin choice 2)
Inequivalent atoms, fractional coordinates:
Y 0.000 0.000 0.000 [16 per cell]
W 0.125 0.125 0.625 [8 per cell]